[1]
! Al2CdGa (GGA-PBE, optimized geometry); values from VASP
&SYSTEM
  ibrav = 0, nat = 4, ntyp = 3
/
ATOMIC_SPECIES
Ga 69.72 Ga.upf
Al 26.98 Al.upf
Cd 112.41 Cd.upf
CELL_PARAMETERS angstrom
-0.697 1.725 4.424
-0.935 4.665 0.637
-4.382 1.404 1.365
ATOMIC_POSITIONS crystal
Ga 0.000 0.000 0.000
Al 0.250 0.250 0.250
Al 0.500 0.500 0.500
Cd 0.750 0.750 0.750
! calculated total energy = -10.7 eV per cell

[2]
! Li2AlCd2GaIr2 (GGA-PBE, optimized geometry); values from VASP
&SYSTEM
  ibrav = 0, nat = 8, ntyp = 5
/
ATOMIC_SPECIES
Li 6.94 Li.upf
Cd 112.41 Cd.upf
Ga 69.72 Ga.upf
Ir 192.22 Ir.upf
Al 26.98 Al.upf
CELL_PARAMETERS angstrom
4.446 0.000 0.000
0.000 4.446 0.000
0.000 0.000 6.279
ATOMIC_POSITIONS crystal
Li 0.500 0.000 0.252
Cd 0.500 0.500 0.000
Ga 0.500 0.500 0.500
Ir 0.500 0.000 0.752
Al 0.000 0.000 0.000
Li 0.000 0.500 0.748
Cd 0.000 0.000 0.500
Ir 0.000 0.500 0.248
! calculated total energy = -32.8 eV per cell

[3]
! LaAlCdGa2 (GGA-PBE, optimized geometry); values from VASP
&SYSTEM
  ibrav = 0, nat = 5, ntyp = 4
/
ATOMIC_SPECIES
La 138.91 La.upf
Ga 69.72 Ga.upf
Al 26.98 Al.upf
Cd 112.41 Cd.upf
CELL_PARAMETERS angstrom
1.444 -3.867 4.879
-4.427 -3.615 2.860
2.081 1.438 -5.869
ATOMIC_POSITIONS crystal
La 0.750 0.250 0.500
Ga 0.361 0.861 0.500
Al 0.000 0.000 0.000
Ga 0.139 0.639 0.500
Cd 0.500 0.500 0.000
! calculated total energy = -17.9 eV per cell

[4]
! Li4AlCdGa2 (GGA-PBE, optimized geometry); values from VASP
&SYSTEM
  ibrav = 0, nat = 8, ntyp = 4
/
ATOMIC_SPECIES
Li 6.94 Li.upf
Ga 69.72 Ga.upf
Cd 112.41 Cd.upf
Al 26.98 Al.upf
CELL_PARAMETERS angstrom
4.445 0.000 0.000
0.000 4.445 0.000
0.000 0.000 6.310
ATOMIC_POSITIONS crystal
Li 0.000 0.500 0.752
Li 0.500 0.000 0.248
Li 0.000 0.000 0.000
Ga 0.000 0.500 0.239
Ga 0.500 0.000 0.761
Li 0.500 0.500 0.500
Cd 0.000 0.000 0.500
Al 0.500 0.500 0.000
! calculated total energy = -20.7 eV per cell

[5]
! Tb3MgAlCd2Ga2 (GGA-PBE, optimized geometry); values from VASP
&SYSTEM
  ibrav = 0, nat = 9, ntyp = 5
/
ATOMIC_SPECIES
Cd 112.41 Cd.upf
Tb 158.93 Tb.upf
Mg 24.30 Mg.upf
Ga 69.72 Ga.upf
Al 26.98 Al.upf
CELL_PARAMETERS angstrom
4.465 0.000 0.000
0.000 6.290 3.645
0.000 -6.290 3.645
ATOMIC_POSITIONS crystal
Cd 0.500 0.244 0.998
Tb 0.000 0.431 0.431
Mg 0.500 0.759 0.759
Ga 0.500 0.665 0.336
Tb 0.000 0.566 0.001
Ga 0.500 0.336 0.665
Al 0.000 0.000 0.000
Tb 0.000 0.001 0.566
Cd 0.500 0.998 0.244
! calculated total energy = -31.4 eV per cell

[6]
! Na4Al2CdGa (GGA-PBE, optimized geometry); values from VASP
&SYSTEM
  ibrav = 0, nat = 8, ntyp = 4
/
ATOMIC_SPECIES
Al 26.98 Al.upf
Na 22.99 Na.upf
Cd 112.41 Cd.upf
Ga 69.72 Ga.upf
CELL_PARAMETERS angstrom
-1.500 -4.595 1.040
3.518 -1.818 -2.959
4.502 -0.226 5.491
ATOMIC_POSITIONS crystal
Al 0.500 0.000 0.757
Na 0.500 0.500 0.500
Na 0.000 0.500 0.757
Al 0.000 0.500 0.243
Na 0.000 0.000 0.000
Cd 0.000 0.000 0.500
Na 0.500 0.000 0.243
Ga 0.500 0.500 0.000
! calculated total energy = -16.4 eV per cell

[7]
! AlCdGaO4 (GGA-PBE, optimized geometry); values from VASP
&SYSTEM
  ibrav = 0, nat = 28, ntyp = 4
/
ATOMIC_SPECIES
O 16.00 O.upf
Cd 112.41 Cd.upf
Al 26.98 Al.upf
Ga 69.72 Ga.upf
CELL_PARAMETERS angstrom
6.027 0.000 0.000
0.000 6.027 0.000
0.000 0.000 8.490
ATOMIC_POSITIONS crystal
O 0.741 0.954 0.986
Cd 0.754 0.246 0.125
Al 0.500 0.741 0.000
O 0.260 0.470 0.477
Cd 0.754 0.754 0.375
O 0.046 0.741 0.236
O 0.954 0.741 0.764
O 0.740 0.530 0.977
O 0.259 0.954 0.014
Ga 0.259 0.000 0.250
Al 0.741 0.500 0.750
O 0.740 0.470 0.523
O 0.530 0.260 0.727
O 0.741 0.046 0.514
O 0.259 0.046 0.486
Al 0.259 0.500 0.250
Al 0.500 0.259 0.500
O 0.530 0.740 0.773
O 0.470 0.260 0.273
Ga 0.000 0.741 0.000
O 0.046 0.259 0.264
Cd 0.246 0.754 0.625
O 0.954 0.259 0.736
O 0.470 0.740 0.227
O 0.260 0.530 0.023
Cd 0.246 0.246 0.875
Ga 0.000 0.259 0.500
Ga 0.741 0.000 0.750
! ΔE to the lowest computed polymorph = 0 meV/atom

[8]
! AlCdGaO4 (GGA-PBE, optimized geometry); values from VASP
&SYSTEM
  ibrav = 0, nat = 28, ntyp = 4
/
ATOMIC_SPECIES
O 16.00 O.upf
Al 26.98 Al.upf
Cd 112.41 Cd.upf
Ga 69.72 Ga.upf
CELL_PARAMETERS angstrom
6.035 0.000 0.000
0.000 6.035 0.000
0.000 0.000 8.321
ATOMIC_POSITIONS crystal
O 0.717 0.510 0.981
O 0.490 0.717 0.231
O 0.283 0.510 0.019
O 0.985 0.287 0.776
Al 0.500 0.747 0.000
Cd 0.000 0.247 0.500
O 0.985 0.713 0.724
Ga 0.737 0.263 0.125
Cd 0.000 0.753 0.000
Ga 0.263 0.737 0.625
Al 0.747 0.500 0.750
Ga 0.263 0.263 0.875
O 0.287 0.015 0.526
O 0.015 0.287 0.224
Al 0.500 0.253 0.500
O 0.490 0.283 0.269
Ga 0.737 0.737 0.375
O 0.713 0.015 0.474
Cd 0.753 0.000 0.750
O 0.015 0.713 0.276
O 0.510 0.717 0.769
O 0.287 0.985 0.974
O 0.717 0.490 0.519
Al 0.253 0.500 0.250
Cd 0.247 0.000 0.250
O 0.713 0.985 0.026
O 0.510 0.283 0.731
O 0.283 0.490 0.481
! ΔE to the lowest computed polymorph = 65 meV/atom

[9]
! AlCdGaO4 (GGA-PBE, optimized geometry); values from VASP
&SYSTEM
  ibrav = 0, nat = 28, ntyp = 4
/
ATOMIC_SPECIES
O 16.00 O.upf
Cd 112.41 Cd.upf
Al 26.98 Al.upf
Ga 69.72 Ga.upf
CELL_PARAMETERS angstrom
6.030 0.000 0.000
0.000 6.030 0.000
0.000 0.000 8.402
ATOMIC_POSITIONS crystal
O 0.498 0.220 0.274
Cd 0.743 0.500 0.250
O 0.502 0.220 0.726
O 0.776 0.000 0.488
O 0.776 0.000 0.012
Cd 0.500 0.743 0.500
O 0.780 0.498 0.524
O 0.502 0.780 0.774
Al 0.237 0.764 0.125
Ga 0.000 0.747 0.500
Ga 0.747 0.000 0.250
O 0.000 0.776 0.738
O 0.224 0.000 0.988
O 0.000 0.776 0.262
O 0.780 0.502 0.976
Al 0.764 0.764 0.875
Ga 0.253 0.000 0.750
Al 0.237 0.237 0.375
O 0.000 0.224 0.238
O 0.498 0.780 0.226
O 0.220 0.502 0.024
Cd 0.500 0.257 0.000
O 0.000 0.224 0.762
O 0.224 0.000 0.512
Al 0.764 0.237 0.625
Ga 0.000 0.253 0.000
O 0.220 0.498 0.476
Cd 0.257 0.500 0.750
! ΔE to the lowest computed polymorph = 108 meV/atom

[10]
! AlCd4GaPt2 (GGA-PBE, optimized geometry); values from VASP
&SYSTEM
  ibrav = 0, nat = 8, ntyp = 4
/
ATOMIC_SPECIES
Cd 112.41 Cd.upf
Pt 195.08 Pt.upf
Al 26.98 Al.upf
Ga 69.72 Ga.upf
CELL_PARAMETERS angstrom
8.897 0.000 0.000
0.000 2.207 3.832
0.000 -2.207 3.832
ATOMIC_POSITIONS crystal
Cd 0.674 0.334 0.334
Cd 0.326 0.334 0.334
Cd 0.827 0.666 0.666
Pt 0.000 0.332 0.332
Al 0.000 0.998 0.998
Cd 0.173 0.666 0.666
Ga 0.500 0.002 0.002
Pt 0.500 0.668 0.668
! calculated total energy = -25.7 eV per cell

[11]
! AlCdGaSeS3 (GGA-PBE, optimized geometry); values from VASP
&SYSTEM
  ibrav = 0, nat = 7, ntyp = 5
/
ATOMIC_SPECIES
Al 26.98 Al.upf
S 32.06 S.upf
Se 78.96 Se.upf
Cd 112.41 Cd.upf
Ga 69.72 Ga.upf
CELL_PARAMETERS angstrom
-5.406 -0.580 1.532
-0.853 -3.294 -4.585
4.334 -2.356 4.278
ATOMIC_POSITIONS crystal
Al 0.998 0.008 0.005
S 0.896 0.910 0.267
Se 0.098 0.639 0.721
S 0.642 0.101 0.740
Cd 0.506 0.498 0.003
Ga 0.744 0.242 0.497
S 0.366 0.352 0.267
! calculated total energy = -29.1 eV per cell

[12]
! Sc2AlCd2Ga (GGA-PBE, optimized geometry); values from VASP
&SYSTEM
  ibrav = 0, nat = 24, ntyp = 4
/
ATOMIC_SPECIES
Sc 44.96 Sc.upf
Cd 112.41 Cd.upf
Ga 69.72 Ga.upf
Al 26.98 Al.upf
CELL_PARAMETERS angstrom
11.198 0.000 0.000
0.000 4.571 0.000
-3.737 0.000 10.556
ATOMIC_POSITIONS crystal
Sc 0.500 0.500 0.750
Sc 0.875 0.000 0.874
Cd 0.250 0.500 0.749
Sc 0.999 0.500 0.251
Ga 0.625 0.000 0.625
Al 0.250 0.500 0.500
Cd 0.626 0.000 0.876
Sc 0.625 0.000 0.125
Cd 0.375 0.000 0.126
Al 0.125 0.000 0.125
Sc 0.751 0.500 0.501
Ga 0.375 0.000 0.875
Cd 0.875 0.000 0.625
Sc 0.124 0.000 0.626
Sc 0.376 0.000 0.376
Cd 0.000 0.500 0.001
Ga 0.000 0.500 0.750
Al 0.500 0.500 0.250
Cd 0.126 0.000 0.375
Cd 0.500 0.500 0.500
Cd 0.749 0.500 0.250
Al 0.750 0.500 0.000
Ga 0.875 0.000 0.375
Sc 0.250 0.500 0.998
! calculated total energy = -88.2 eV per cell

[13]
! AlCdGaTeSe3 (GGA-PBE, optimized geometry); values from VASP
&SYSTEM
  ibrav = 0, nat = 7, ntyp = 5
/
ATOMIC_SPECIES
Cd 112.41 Cd.upf
Se 78.96 Se.upf
Te 127.60 Te.upf
Al 26.98 Al.upf
Ga 69.72 Ga.upf
CELL_PARAMETERS angstrom
5.934 0.000 0.000
-0.132 5.998 0.000
-2.862 -2.881 5.589
ATOMIC_POSITIONS crystal
Cd 0.511 0.495 0.004
Se 0.365 0.366 0.273
Te 0.108 0.642 0.716
Al 0.996 0.014 0.008
Se 0.627 0.092 0.734
Ga 0.740 0.237 0.493
Se 0.904 0.903 0.272
! calculated total energy = -25.7 eV per cell

[14]
! Tb2TmAlCd3Ga2 (GGA-PBE, optimized geometry); values from VASP
&SYSTEM
  ibrav = 0, nat = 9, ntyp = 5
/
ATOMIC_SPECIES
Ga 69.72 Ga.upf
Al 26.98 Al.upf
Cd 112.41 Cd.upf
Tm 168.93 Tm.upf
Tb 158.93 Tb.upf
CELL_PARAMETERS angstrom
-4.284 0.203 -1.096
-1.760 -3.104 6.305
0.458 7.216 -0.451
ATOMIC_POSITIONS crystal
Ga 0.500 0.335 0.666
Al 0.000 0.998 0.998
Cd 0.500 0.000 0.754
Tm 0.000 0.567 0.567
Cd 0.500 0.247 0.247
Tb 0.000 0.001 0.433
Ga 0.500 0.666 0.335
Tb 0.000 0.433 0.001
Cd 0.500 0.754 0.000
! calculated total energy = -30.6 eV per cell

[15]
! GdAl2Cd (GGA-PBE, optimized geometry); values from VASP
&SYSTEM
  ibrav = 0, nat = 8, ntyp = 3
/
ATOMIC_SPECIES
Al 26.98 Al.upf
Gd 157.25 Gd.upf
Cd 112.41 Cd.upf
CELL_PARAMETERS angstrom
0.245 5.929 2.020
-3.907 -3.896 2.975
3.549 -1.199 3.091
ATOMIC_POSITIONS crystal
Al 0.702 0.857 0.750
Gd 0.344 0.656 0.250
Al 0.857 0.702 0.250
Cd 0.835 0.165 0.250
Al 0.298 0.143 0.250
Al 0.143 0.298 0.750
Cd 0.165 0.835 0.750
Gd 0.656 0.344 0.750
! ΔE to the lowest computed polymorph = 8 meV/atom

[16]
! Gd2Al5Cd (GGA-PBE, optimized geometry); values from VASP
&SYSTEM
  ibrav = 0, nat = 8, ntyp = 3
/
ATOMIC_SPECIES
Gd 157.25 Gd.upf
Al 26.98 Al.upf
Cd 112.41 Cd.upf
CELL_PARAMETERS angstrom
-0.317 4.039 2.321
-5.358 -2.002 2.753
0.414 -3.132 5.506
ATOMIC_POSITIONS crystal
Gd 0.500 0.342 0.342
Al 0.000 0.703 0.140
Gd 0.000 0.661 0.661
Cd 0.000 0.159 0.159
Al 0.000 0.140 0.703
Al 0.500 0.286 0.856
Al 0.500 0.851 0.851
Al 0.500 0.856 0.286
! calculated total energy = -32.0 eV per cell

[17]
! GdAl2Cd (GGA-PBE, optimized geometry); values from VASP
&SYSTEM
  ibrav = 0, nat = 8, ntyp = 3
/
ATOMIC_SPECIES
Al 26.98 Al.upf
Cd 112.41 Cd.upf
Gd 157.25 Gd.upf
CELL_PARAMETERS angstrom
-1.171 4.590 -0.209
2.269 0.858 6.149
6.221 1.655 1.501
ATOMIC_POSITIONS crystal
Al 0.000 0.696 0.160
Al 0.500 0.856 0.856
Cd 0.500 0.323 0.822
Gd 0.000 0.686 0.686
Al 0.000 0.160 0.696
Al 0.000 0.137 0.137
Cd 0.500 0.822 0.323
Gd 0.500 0.321 0.321
! ΔE to the lowest computed polymorph = 0 meV/atom

[18]
! GdAl2Cd (GGA-PBE, optimized geometry); values from VASP
&SYSTEM
  ibrav = 0, nat = 8, ntyp = 3
/
ATOMIC_SPECIES
Al 26.98 Al.upf
Gd 157.25 Gd.upf
Cd 112.41 Cd.upf
CELL_PARAMETERS angstrom
4.764 0.000 0.000
0.000 5.782 3.089
0.000 -5.782 3.089
ATOMIC_POSITIONS crystal
Al 0.750 0.152 0.868
Al 0.250 0.308 0.168
Al 0.250 0.868 0.152
Al 0.750 0.168 0.308
Gd 0.250 0.318 0.677
Gd 0.750 0.677 0.318
Cd 0.750 0.678 0.831
Cd 0.250 0.831 0.678
! ΔE to the lowest computed polymorph = 0 meV/atom

[19]
! Gd3Mg3AlCdHg (GGA-PBE, optimized geometry); values from VASP
&SYSTEM
  ibrav = 0, nat = 9, ntyp = 5
/
ATOMIC_SPECIES
Hg 200.59 Hg.upf
Gd 157.25 Gd.upf
Cd 112.41 Cd.upf
Mg 24.30 Mg.upf
Al 26.98 Al.upf
CELL_PARAMETERS angstrom
7.485 0.000 0.000
-3.742 6.482 0.000
0.000 0.000 4.603
ATOMIC_POSITIONS crystal
Hg 0.667 0.333 0.500
Gd 0.762 0.673 0.000
Gd 0.327 0.089 0.000
Cd 0.333 0.667 0.000
Gd 0.911 0.238 0.000
Mg 0.090 0.668 0.500
Mg 0.332 0.422 0.500
Al 0.000 0.000 0.500
Mg 0.578 0.910 0.500
! calculated total energy = -26.6 eV per cell

[20]
! GdHo2Al2Cd4 (GGA-PBE, optimized geometry); values from VASP
&SYSTEM
  ibrav = 0, nat = 9, ntyp = 4
/
ATOMIC_SPECIES
Cd 112.41 Cd.upf
Al 26.98 Al.upf
Ho 164.93 Ho.upf
Gd 157.25 Gd.upf
CELL_PARAMETERS angstrom
4.542 0.000 0.000
0.000 6.353 3.652
0.000 -6.353 3.652
ATOMIC_POSITIONS crystal
Cd 0.500 0.748 0.000
Al 0.500 0.667 0.332
Cd 0.000 0.002 0.002
Ho 0.000 0.999 0.429
Al 0.500 0.332 0.667
Cd 0.500 0.000 0.748
Gd 0.000 0.571 0.571
Cd 0.500 0.252 0.252
Ho 0.000 0.429 0.999
! calculated total energy = -28.3 eV per cell

[21]
! Gd2HoAl2Cd4 (GGA-PBE, optimized geometry); values from VASP
&SYSTEM
  ibrav = 0, nat = 9, ntyp = 4
/
ATOMIC_SPECIES
Al 26.98 Al.upf
Cd 112.41 Cd.upf
Gd 157.25 Gd.upf
Ho 164.93 Ho.upf
CELL_PARAMETERS angstrom
-2.677 0.725 3.598
5.926 0.586 4.291
-2.750 5.979 -3.251
ATOMIC_POSITIONS crystal
Al 0.500 0.335 0.666
Cd 0.500 0.253 0.253
Al 0.500 0.666 0.335
Cd 0.500 0.748 0.000
Cd 0.500 0.000 0.748
Gd 0.000 0.001 0.429
Ho 0.000 0.572 0.572
Gd 0.000 0.429 0.001
Cd 0.000 0.997 0.997
! calculated total energy = -28.5 eV per cell